Record 1
Computed, not measured: a geometry-optimized LiCd4Hg5 structure at the PBE level of DFT.

Structure (CIF):
```
data_LiCd4Hg5
_cell_length_a 4.4773
_cell_length_b 5.1279
_cell_length_c 26.1977
_cell_angle_alpha 49.23
_cell_angle_beta 38.51
_cell_angle_gamma 38.63
_symmetry_space_group_name_H-M 'P 1'
_symmetry_Int_Tables_number 1
_symmetry_space_group_name_Hall 'P 1'
loop_
_atom_site_label
_atom_site_type_symbol
_atom_site_fract_x
_atom_site_fract_y
_atom_site_fract_z
Hg1 Hg 0.5000 0.5000 0.5000
Hg2 Hg 0.4813 0.4969 0.7060
Hg3 Hg 0.4900 0.5238 0.0907
Hg4 Hg 0.5187 0.5031 0.2940
Hg5 Hg 0.5100 0.4762 0.9093
Cd1 Cd 0.0082 0.0224 0.1898
Cd2 Cd 0.9918 0.9776 0.8102
Cd3 Cd 0.0111 0.0004 0.3969
Cd4 Cd 0.9889 0.9996 0.6031
Li1 Li 0.0000 0.0000 0.0000
```

Results
- calculated volume (Å³ per cell) = 232.5
- offset from the most stable computed form (eV/f.u.) = 0.00
- size of the total moment (μB per formula unit) = 0.0

***

Record 2
Computed, not measured: a geometry-optimized LiCd3Hg4 structure at the PBE level of DFT.

Structure (CIF):
```
data_LiCd3Hg4
_cell_length_a 3.5501
_cell_length_b 4.7275
_cell_length_c 11.2854
_cell_angle_alpha 90.00
_cell_angle_beta 90.00
_cell_angle_gamma 90.00
_symmetry_space_group_name_H-M 'P 1'
_symmetry_Int_Tables_number 1
_symmetry_space_group_name_Hall 'P 1'
loop_
_atom_site_label
_atom_site_type_symbol
_atom_site_fract_x
_atom_site_fract_y
_atom_site_fract_z
Hg1 Hg 0.0000 0.0000 0.1507
Hg2 Hg 0.5000 0.0000 0.6597
Hg3 Hg 0.5000 0.5000 0.3267
Hg4 Hg 0.0000 0.5000 0.8586
Li1 Li 0.5000 0.5000 0.0797
Cd1 Cd 0.0000 0.0000 0.4144
Cd2 Cd 0.5000 0.0000 0.9247
Cd3 Cd 0.0000 0.5000 0.5855
```

Results
- calculated volume (Å³ per cell) = 189.4
- offset from the most stable computed form (eV/f.u.) = 0.29
- size of the total moment (μB per formula unit) = 0.0

***

Record 3
Computed, not measured: a geometry-optimized Li5Cd6Hg structure at the PBE level of DFT.

Structure (CIF):
```
data_Li5Cd6Hg
_cell_length_a 4.5801
_cell_length_b 7.3507
_cell_length_c 8.0551
_cell_angle_alpha 117.15
_cell_angle_beta 106.52
_cell_angle_gamma 90.00
_symmetry_space_group_name_H-M 'P 1'
_symmetry_Int_Tables_number 1
_symmetry_space_group_name_Hall 'P 1'
loop_
_atom_site_label
_atom_site_type_symbol
_atom_site_fract_x
_atom_site_fract_y
_atom_site_fract_z
Hg1 Hg 0.0000 0.0000 0.0000
Li1 Li 0.3267 0.3267 0.6534
Li2 Li 0.0000 0.5000 0.0000
Li3 Li 0.3475 0.8475 0.6949
Li4 Li 0.6525 0.1525 0.3051
Li5 Li 0.6733 0.6733 0.3466
Cd1 Cd 0.1734 0.9042 0.3465
Cd2 Cd 0.8266 0.0958 0.6535
Cd3 Cd 0.1731 0.4423 0.3465
Cd4 Cd 0.8269 0.5577 0.6535
Cd5 Cd 0.4998 0.2816 0.0000
Cd6 Cd 0.5002 0.7184 0.0000
```

Results
- calculated volume (Å³ per cell) = 228.7
- uncorrected energy (eV per atom) = -1.5076
- size of the total moment (μB per formula unit) = 0.0

***

Record 4
Computed, not measured: a geometry-optimized Li2Cd2Hg5 structure at the PBE level of DFT.

Structure (CIF):
```
data_Li2Cd2Hg5
_cell_length_a 7.6456
_cell_length_b 7.5483
_cell_length_c 8.2561
_cell_angle_alpha 117.20
_cell_angle_beta 90.00
_cell_angle_gamma 90.00
_symmetry_space_group_name_H-M 'P 1'
_symmetry_Int_Tables_number 1
_symmetry_space_group_name_Hall 'P 1'
loop_
_atom_site_label
_atom_site_type_symbol
_atom_site_fract_x
_atom_site_fract_y
_atom_site_fract_z
Cd1 Cd 0.0000 0.7981 0.5963
Cd2 Cd 0.5000 0.7019 0.4037
Cd3 Cd 0.5000 0.2981 0.5963
Cd4 Cd 0.0000 0.2019 0.4037
Hg1 Hg 0.6486 0.0223 0.7464
Hg2 Hg 0.8514 0.7759 0.2536
Hg3 Hg 0.0000 0.0000 0.0000
Hg4 Hg 0.8514 0.5223 0.7464
Hg5 Hg 0.1486 0.2241 0.7464
Hg6 Hg 0.3514 0.9777 0.2536
Hg7 Hg 0.6486 0.2759 0.2536
Hg8 Hg 0.3514 0.7241 0.7464
Hg9 Hg 0.5000 0.5000 0.0000
Hg10 Hg 0.1486 0.4777 0.2536
Li1 Li 0.8504 0.3522 0.0000
Li2 Li 0.1495 0.6478 0.0000
Li3 Li 0.6496 0.8522 0.0000
Li4 Li 0.3504 0.1478 0.0000
```

Results
- calculated volume (Å³ per cell) = 423.8
- offset from the most stable computed form (eV/f.u.) = 0.17
- size of the total moment (μB per formula unit) = 0.0

***

Record 5
Computed, not measured: a geometry-optimized Li4Cd5Hg structure at the PBE level of DFT.

Structure (CIF):
```
data_Li4Cd5Hg
_cell_length_a 4.7279
_cell_length_b 5.8769
_cell_length_c 7.5873
_cell_angle_alpha 105.98
_cell_angle_beta 108.15
_cell_angle_gamma 90.00
_symmetry_space_group_name_H-M 'P 1'
_symmetry_Int_Tables_number 1
_symmetry_space_group_name_Hall 'P 1'
loop_
_atom_site_label
_atom_site_type_symbol
_atom_site_fract_x
_atom_site_fract_y
_atom_site_fract_z
Li1 Li 0.9068 0.1164 0.8137
Li2 Li 0.6944 0.2930 0.3888
Li3 Li 0.3056 0.7070 0.6112
Li4 Li 0.0932 0.8836 0.1863
Cd1 Cd 0.1119 0.4001 0.2238
Cd2 Cd 0.7115 0.8103 0.4230
Cd3 Cd 0.8881 0.5999 0.7762
Cd4 Cd 0.2885 0.1897 0.5770
Cd5 Cd 0.5000 0.5000 0.0000
Hg1 Hg 0.5000 0.0000 0.0000
```

Results
- calculated volume (Å³ per cell) = 191.7
- offset from the most stable computed form (eV/f.u.) = 0.00
- size of the total moment (μB per formula unit) = 0.0

***

Record 6
Computed, not measured: a geometry-optimized Li3Cd6Hg structure at the PBE level of DFT.

Structure (CIF):
```
data_Li3Cd6Hg
_cell_length_a 4.9887
_cell_length_b 8.0037
_cell_length_c 10.7669
_cell_angle_alpha 108.88
_cell_angle_beta 90.00
_cell_angle_gamma 90.00
_symmetry_space_group_name_H-M 'P 1'
_symmetry_Int_Tables_number 1
_symmetry_space_group_name_Hall 'P 1'
loop_
_atom_site_label
_atom_site_type_symbol
_atom_site_fract_x
_atom_site_fract_y
_atom_site_fract_z
Li1 Li 0.7500 0.7991 0.3714
Li2 Li 0.7500 0.2003 0.9720
Li3 Li 0.7500 0.4121 0.7717
Li4 Li 0.2500 0.7997 0.0280
Li5 Li 0.2500 0.5879 0.2283
Li6 Li 0.2500 0.2009 0.6286
Cd1 Cd 0.7500 0.8092 0.8762
Cd2 Cd 0.2500 0.9776 0.3232
Cd3 Cd 0.7500 0.0223 0.6768
Cd4 Cd 0.7500 0.4075 0.2594
Cd5 Cd 0.2500 0.5925 0.7406
Cd6 Cd 0.7500 0.1924 0.4753
Cd7 Cd 0.2500 0.8076 0.5247
Cd8 Cd 0.7500 0.5967 0.0671
Cd9 Cd 0.7500 0.9943 0.1705
Cd10 Cd 0.2500 0.4033 0.9329
Cd11 Cd 0.2500 0.1908 0.1238
Cd12 Cd 0.2500 0.0057 0.8295
Hg1 Hg 0.7500 0.6085 0.5716
Hg2 Hg 0.2500 0.3915 0.4284
```

Results
- calculated volume (Å³ per cell) = 406.8
- uncorrected energy (eV per atom) = -1.3351
- size of the total moment (μB per formula unit) = 0.0